# 1
# EuTmSn2, relaxed, DFT PBE
data_EuTmSn2
_symmetry_space_group_name_H-M 'P 4/m m m'
_symmetry_Int_Tables_number 123
_symmetry_space_group_name_Hall '-P 4 2'
_cell_length_a 3.9813
_cell_length_b 3.9813
_cell_length_c 7.1390
_cell_angle_alpha 90.00
_cell_angle_beta 90.00
_cell_angle_gamma 90.00
loop_
_atom_site_label
_atom_site_fract_x
_atom_site_fract_y
_atom_site_fract_z
_atom_site_occupancy
Eu1 0.0000 0.0000 0.0000 1
Tm1 0.0000 0.0000 0.5000 1
Sn1 0.5000 0.5000 0.2794 1
# ΔH_f (0 K) ... -600 meV per atom
# V ... 113.2 Å³/cell
# DOS(E_F) ... 2.09 states/eV/f.u.

***

# 2
# EuTm2Sn, relaxed, DFT PBE
data_EuTm2Sn
_symmetry_space_group_name_H-M 'F m -3 m'
_symmetry_Int_Tables_number 225
_symmetry_space_group_name_Hall '-F 4 2 3'
_cell_length_a 7.6488
_cell_length_b 7.6488
_cell_length_c 7.6488
_cell_angle_alpha 90.00
_cell_angle_beta 90.00
_cell_angle_gamma 90.00
loop_
_atom_site_label
_atom_site_fract_x
_atom_site_fract_y
_atom_site_fract_z
_atom_site_occupancy
Eu1 0.0000 0.0000 0.0000 1
Tm1 0.2500 0.2500 0.2500 1
Sn1 0.0000 0.0000 0.5000 1
# ΔH_f (0 K) ... -186 meV per atom
# V ... 447.5 Å³/cell
# DOS(E_F) ... 4.67 states/eV/f.u.

***

# 3
# EuTm2Sn, relaxed, DFT PBE
data_EuTm2Sn
_symmetry_space_group_name_H-M 'P 4/m m m'
_symmetry_Int_Tables_number 123
_symmetry_space_group_name_Hall '-P 4 2'
_cell_length_a 4.8844
_cell_length_b 4.8844
_cell_length_c 4.7469
_cell_angle_alpha 90.00
_cell_angle_beta 90.00
_cell_angle_gamma 90.00
loop_
_atom_site_label
_atom_site_fract_x
_atom_site_fract_y
_atom_site_fract_z
_atom_site_occupancy
Eu1 0.0000 0.0000 0.0000 1
Tm1 0.0000 0.5000 0.5000 1
Sn1 0.5000 0.5000 0.0000 1
# ΔH_f (0 K) ... -350 meV per atom
# V ... 113.2 Å³/cell
# DOS(E_F) ... 5.00 states/eV/f.u.

***

# 4
# EuTm2Sn, relaxed, DFT PBE
data_EuTm2Sn
_symmetry_space_group_name_H-M 'P 4/m m m'
_symmetry_Int_Tables_number 123
_symmetry_space_group_name_Hall '-P 4 2'
_cell_length_a 3.5826
_cell_length_b 3.5826
_cell_length_c 9.4997
_cell_angle_alpha 90.00
_cell_angle_beta 90.00
_cell_angle_gamma 90.00
loop_
_atom_site_label
_atom_site_fract_x
_atom_site_fract_y
_atom_site_fract_z
_atom_site_occupancy
Eu1 0.0000 0.0000 0.0000 1
Tm1 0.5000 0.5000 0.2900 1
Sn1 0.0000 0.0000 0.5000 1
# ΔH_f (0 K) ... -248 meV per atom
# V ... 121.9 Å³/cell
# DOS(E_F) ... 4.43 states/eV/f.u.

***

# 5
# EuTmSn2, relaxed, DFT PBE
data_EuTmSn2
_symmetry_space_group_name_H-M 'P 4/m m m'
_symmetry_Int_Tables_number 123
_symmetry_space_group_name_Hall '-P 4 2'
_cell_length_a 4.9621
_cell_length_b 4.9621
_cell_length_c 4.4474
_cell_angle_alpha 90.00
_cell_angle_beta 90.00
_cell_angle_gamma 90.00
loop_
_atom_site_label
_atom_site_fract_x
_atom_site_fract_y
_atom_site_fract_z
_atom_site_occupancy
Eu1 0.0000 0.0000 0.0000 1
Tm1 0.5000 0.5000 0.0000 1
Sn1 0.0000 0.5000 0.5000 1
# ΔH_f (0 K) ... -579 meV per atom
# V ... 109.5 Å³/cell
# DOS(E_F) ... 2.55 states/eV/f.u.

***

# 6
# Eu2TmSn, relaxed, DFT PBE
data_Eu2TmSn
_symmetry_space_group_name_H-M 'R -3 m'
_symmetry_Int_Tables_number 166
_symmetry_space_group_name_Hall '-R 3 2"'
_cell_length_a 3.6026
_cell_length_b 3.6026
_cell_length_c 37.4827
_cell_angle_alpha 90.00
_cell_angle_beta 90.00
_cell_angle_gamma 120.00
loop_
_atom_site_label
_atom_site_fract_x
_atom_site_fract_y
_atom_site_fract_z
_atom_site_occupancy
Eu1 0.0000 0.0000 0.0870 1
Tm1 0.0000 0.0000 0.5000 1
Sn1 0.0000 0.0000 0.0000 1
# ΔH_f (0 K) ... 98 meV per atom
# V ... 421.3 Å³/cell
# DOS(E_F) ... 3.15 states/eV/f.u.

***

# 7
# EuTmZnSn, relaxed, DFT PBE
data_EuTmZnSn
_symmetry_space_group_name_H-M 'F -4 3 m'
_symmetry_Int_Tables_number 216
_symmetry_space_group_name_Hall 'F -4 2 3'
_cell_length_a 7.4582
_cell_length_b 7.4582
_cell_length_c 7.4582
_cell_angle_alpha 90.00
_cell_angle_beta 90.00
_cell_angle_gamma 90.00
loop_
_atom_site_label
_atom_site_fract_x
_atom_site_fract_y
_atom_site_fract_z
_atom_site_occupancy
Eu1 0.0000 0.0000 0.0000 1
Tm1 0.0000 0.0000 0.5000 1
Zn1 0.2500 0.2500 0.7500 1
Sn1 0.2500 0.2500 0.2500 1
# ΔH_f (0 K) ... -458 meV per atom
# V ... 414.9 Å³/cell
# DOS(E_F) ... 2.91 states/eV/f.u.

***

# 8
# EuY2Sn, relaxed, DFT PBE
data_EuY2Sn
_symmetry_space_group_name_H-M 'P 4/m m m'
_symmetry_Int_Tables_number 123
_symmetry_space_group_name_Hall '-P 4 2'
_cell_length_a 4.9518
_cell_length_b 4.9518
_cell_length_c 4.7810
_cell_angle_alpha 90.00
_cell_angle_beta 90.00
_cell_angle_gamma 90.00
loop_
_atom_site_label
_atom_site_fract_x
_atom_site_fract_y
_atom_site_fract_z
_atom_site_occupancy
Eu1 0.0000 0.0000 0.0000 1
Y1 0.0000 0.5000 0.5000 1
Sn1 0.5000 0.5000 0.0000 1
# ΔH_f (0 K) ... -383 meV per atom
# V ... 117.2 Å³/cell
# DOS(E_F) ... 4.62 states/eV/f.u.